{"formula": "Sc2PtRh", "functional": "GGA-PBEsol", "state": "optimized geometry", "sg": "P4/mmm (123)", "lattice": [[4.5199, 0.0000, 0.0000], [0.0000, 4.5199, 0.0000], [0.0000, 0.0000, 3.2719]], "species": ["Sc", "Sc", "Pt", "Rh"], "frac_coords": [[0.0000, 0.5000, 0.0000], [0.5000, 0.0000, 0.0000], [0.0000, 0.0000, 0.5000], [0.5000, 0.5000, 0.5000]]}



{"formula": "Ca2AlRh2", "functional": "GGA-PBEsol", "state": "optimized geometry", "sg": "P4/mbm (127)", "lattice": [[6.5374, 0.0000, 0.0000], [0.0000, 6.5374, 0.0000], [0.0000, 0.0000, 4.5456]], "species": ["Ca", "Ca", "Ca", "Ca", "Al", "Al", "Rh", "Rh", "Rh", "Rh"], "frac_coords": [[0.1734, 0.3266, 0.0000], [0.3266, 0.8266, 0.0000], [0.6734, 0.1734, 0.0000], [0.8266, 0.6734, 0.0000], [0.0000, 0.0000, 0.5000], [0.5000, 0.5000, 0.5000], [0.1397, 0.6397, 0.5000], [0.3603, 0.1397, 0.5000], [0.6397, 0.8603, 0.5000], [0.8603, 0.3603, 0.5000]]}



Across the entries above, energy relative to the elements takes the values -1085 -523 meV per atom, respectively.